*one*
The following is a DFT calculation (GGA-PBE) of crystalline CaNbV2Pb at its relaxed geometry.

Symmetry ... P4/mmm
Total moment ... 3.39 μB/cell

Cell: 4.792 4.792 5.506 Å, 90.00 90.00 90.00°
Element x y z (fractional)
Ca 0.000 0.000 0.000
Nb 0.500 0.500 0.500
V 0.000 0.500 0.500
V 0.500 0.000 0.500
Pb 0.500 0.500 0.000

---

*two*
The following is a DFT calculation (GGA-PBE) of crystalline CaNbV2Pb at its relaxed geometry.

Symmetry ... P4/mmm
Total moment ... 0.97 μB/cell

Cell: 5.043 5.043 5.298 Å, 90.00 90.00 90.00°
Element x y z (fractional)
Ca 0.000 0.000 0.000
Nb 0.500 0.500 0.000
V 0.000 0.500 0.500
V 0.500 0.000 0.500
Pb 0.500 0.500 0.500

---

*one* comes first in stability; the runner-up is 0.805 eV/atom higher.

---

*one*
The following is a DFT calculation (GGA-PBE) of crystalline CaNbPd2 at its relaxed geometry.

Symmetry ... Fm-3m
Total moment ... 0.00 μB/cell

Cell: 4.738 4.738 4.738 Å, 60.00 60.00 60.00°
Element x y z (fractional)
Ca 0.000 0.000 0.000
Nb 0.500 0.500 0.500
Pd 0.250 0.250 0.250
Pd 0.750 0.750 0.750

---

*two*
The following is a DFT calculation (GGA-PBE) of crystalline CaNbPd2 at its relaxed geometry.

Symmetry ... I-42d
Total moment ... 3.13 μB/cell

Cell: 6.081 6.081 6.081 Å, 104.29 104.29 120.41°
Element x y z (fractional)
Ca 0.000 0.000 0.000
Ca 0.750 0.250 0.500
Nb 0.250 0.750 0.500
Nb 0.500 0.500 0.000
Pd 0.158 0.625 0.033
Pd 0.375 0.408 0.533
Pd 0.592 0.125 0.967
Pd 0.875 0.842 0.467

---

*one* comes first in stability; the runner-up is 0.285 eV/atom higher.

---

*one*
The following is a DFT calculation (GGA-PBE) of crystalline Ca2NbPd at its relaxed geometry.

Symmetry ... I-42d
Total moment ... 5.46 μB/cell

Cell: 6.561 6.561 6.561 Å, 101.91 101.91 125.96°
Element x y z (fractional)
Ca 0.078 0.625 0.953
Ca 0.375 0.328 0.453
Ca 0.672 0.125 0.047
Ca 0.875 0.922 0.547
Nb 0.250 0.750 0.500
Nb 0.500 0.500 0.000
Pd 0.000 0.000 0.000
Pd 0.750 0.250 0.500

---

*two*
The following is a DFT calculation (GGA-PBE) of crystalline Ca2NbPd at its relaxed geometry.

Symmetry ... Fm-3m
Total moment ... 4.18 μB/cell

Cell: 5.175 5.175 5.175 Å, 60.00 60.00 60.00°
Element x y z (fractional)
Ca 0.250 0.250 0.250
Ca 0.750 0.750 0.750
Nb 0.000 0.000 0.000
Pd 0.500 0.500 0.500

---

*two* comes first in stability; the runner-up is 0.159 eV/atom higher.

---

*one*
The following is a DFT calculation (GGA-PBE) of crystalline CaNb2Pt at its relaxed geometry.

Symmetry ... Fm-3m
Total moment ... 0.00 μB/cell

Cell: 4.716 4.716 4.716 Å, 60.00 60.00 60.00°
Element x y z (fractional)
Ca 0.000 0.000 0.000
Nb 0.250 0.250 0.250
Nb 0.750 0.750 0.750
Pt 0.500 0.500 0.500

---

*two*
The following is a DFT calculation (GGA-PBE) of crystalline CaNb2Pt at its relaxed geometry.

Symmetry ... I-42d
Total moment ... 0.00 μB/cell

Cell: 11.094 11.094 11.094 Å, 159.62 159.62 28.97°
Element x y z (fractional)
Ca 0.000 0.000 0.000
Ca 0.750 0.250 0.500
Nb 0.145 0.625 0.020
Nb 0.375 0.395 0.520
Nb 0.605 0.125 0.980
Nb 0.875 0.855 0.480
Pt 0.250 0.750 0.500
Pt 0.500 0.500 0.000

---

*two* comes first in stability; the runner-up is 0.030 eV/atom higher.